LaIn2TeRh | PBE | relaxed

Properties
Volume, Å³ per atom: 28.903
Density, g cm⁻³: 6.883
Space group: No. 123
ΔE_f (raw), eV/atom: -0.751
Spin magnetization, μB per formula unit: 0.00

Cell lengths 5.173, 5.173, 5.401 Å; angles 90.00, 90.00, 90.00 degrees
Atoms (fractional coordinates):
In 0.500 0.000 0.000
In 0.000 0.500 0.000
Te 0.500 0.500 0.500
La 0.000 0.000 0.500
Rh 0.000 0.000 0.000